Compound: Tc2PtRh
Source: the Alexandria database
Functional: GGA-PBE
Structure: relaxed

Unit cell a=6.6042 b=6.6042 c=6.6042 alpha=128.35 beta=128.35 gamma=76.06
Fractional coordinates of all 8 atoms:
Tc1 0.1179 0.6250 0.9929
Tc2 0.3750 0.3679 0.4929
Tc3 0.6321 0.1250 0.0071
Tc4 0.8750 0.8821 0.5071
Pt1 0.2500 0.7500 0.5000
Pt2 0.5000 0.5000 0.0000
Rh1 0.0000 0.0000 0.0000
Rh2 0.7500 0.2500 0.5000

symmetry: I-42d
offset from the most stable computed form: 1226.4 meV per atom
magnetic moment: 0.0 μB per formula unit

***

Compound: TcPt6Rh
Source: the Alexandria database
Functional: GGA-PBE
Structure: relaxed

Unit cell a=3.9365 b=3.9365 c=7.8950 alpha=90.00 beta=90.00 gamma=90.00
Fractional coordinates of all 8 atoms:
Tc1 0.0000 0.0000 0.0000
Pt1 0.0000 0.5000 0.2458
Pt2 0.0000 0.5000 0.7542
Pt3 0.5000 0.0000 0.2458
Pt4 0.5000 0.0000 0.7542
Pt5 0.5000 0.5000 0.0000
Pt6 0.5000 0.5000 0.5000
Rh1 0.0000 0.0000 0.5000

symmetry: P4/mmm
offset from the most stable computed form: 31.8 meV per atom
magnetic moment: 0.0 μB per formula unit

***

Q: Which value of magnetic moment does entry 2 give?
A: 0.0 μB per formula unit

***

Q: What is the formula in the second record?
A: TcPt6Rh